(1)
# LaCu4

An optimized crystal structure of LaCu4 (GGA-PBE, Alexandria).

a = 5.190 Å, b = 5.190 Å, c = 5.190 Å
α = 90.00°, β = 90.00°, γ = 90.00°
Sites, in units of the cell vectors:
Cu 0.500 0.500 0.000
Cu 0.000 0.500 0.500
Cu 0.500 0.000 0.500
La 0.500 0.500 0.500
Cu 0.000 0.000 0.000

Computed properties:
The space group is No. 221. The calculation puts the formation energy at 1.429 eV per atom.



(2)
# Ac2AsO

An optimized crystal structure of Ac2AsO (GGA-PBE, Alexandria).

a = 4.203 Å, b = 4.203 Å, c = 7.168 Å
α = 72.95°, β = 72.95°, γ = 60.00°
Sites, in units of the cell vectors:
Ac 0.261 0.261 0.218
Ac 0.739 0.739 0.782
As 0.500 0.500 0.500
O 0.000 0.000 0.000

Computed properties:
The space group is No. 166. As for the energy relative to the elements, uncorrected: -44.60 kcal/mol of atoms.



(3)
# LiGeTeI2

An optimized crystal structure of LiGeTeI2 (GGA-PBE, Alexandria).

a = 5.861 Å, b = 5.861 Å, c = 5.532 Å
α = 90.00°, β = 90.00°, γ = 90.00°
Sites, in units of the cell vectors:
Te 0.000 0.000 0.500
Ge 0.000 0.000 0.000
I 0.000 0.500 0.000
I 0.500 0.000 0.000
Li 0.500 0.500 0.500

Computed properties:
The space group is No. 123. As for the energy relative to the elements, uncorrected: -3.41 kcal/mol of atoms.



(4)
# MgBe2C

An optimized crystal structure of MgBe2C (GGA-PBE, Alexandria).

a = 3.061 Å, b = 3.061 Å, c = 10.608 Å
α = 90.00°, β = 90.00°, γ = 120.00°
Sites, in units of the cell vectors:
Be 0.333 0.667 0.438
Be 0.667 0.333 0.562
Mg 0.333 0.667 0.860
Be 0.000 0.000 0.670
C 0.333 0.667 0.620
Mg 0.667 0.333 0.140
Be 0.000 0.000 0.330
C 0.667 0.333 0.380

Computed properties:
The space group is No. 164. The calculation puts the formation energy at -0.033 eV per atom.



(5)
# Ca3HfNi

An optimized crystal structure of Ca3HfNi (GGA-PBE, Alexandria).

a = 5.817 Å, b = 5.817 Å, c = 5.817 Å
α = 90.00°, β = 90.00°, γ = 90.00°
Last column: magnetic moment on the atom in μB.
Sites, in units of the cell vectors:
Ni 0.500 0.500 0.500  0.85
Hf 0.000 0.000 0.000  1.38
Ca 0.000 0.500 0.000  0.16
Ca 0.000 0.000 0.500  0.21
Ca 0.500 0.000 0.000  0.11

Computed properties:
The space group is No. 221. The calculation puts the formation energy at 1.457 eV per atom.



(6)
# Tc2RhBr

An optimized crystal structure of Tc2RhBr (GGA-PBE, Alexandria).

a = 2.813 Å, b = 2.813 Å, c = 9.363 Å
α = 90.00°, β = 90.00°, γ = 119.22°
Last column: magnetic moment on the atom in μB.
Sites, in units of the cell vectors:
Br 0.500 0.500 0.250  0.00
Rh 0.500 0.500 0.750  0.10
Tc 0.000 0.000 0.989  0.25
Tc 0.000 0.000 0.511  0.25

Computed properties:
The space group is No. 65. As for the energy relative to the elements, uncorrected: 19.70 kcal/mol of atoms.



(7)
# LiSmAg4

An optimized crystal structure of LiSmAg4 (GGA-PBE, Alexandria).

a = 5.152 Å, b = 5.255 Å, c = 5.271 Å
α = 60.10°, β = 85.15°, γ = 80.25°
Sites, in units of the cell vectors:
Ag 0.001 0.818 0.863
Li 0.001 0.502 0.496
Ag 0.001 0.186 0.128
Sm 0.501 0.002 0.495
Ag 0.501 0.338 0.823
Ag 0.501 0.666 0.168

Computed properties:
The space group is No. 12. The calculation puts the formation energy at -0.149 eV per atom.



(8)
# CuRh2

An optimized crystal structure of CuRh2 (GGA-PBE, Alexandria).

a = 5.099 Å, b = 5.099 Å, c = 8.095 Å
α = 90.00°, β = 90.00°, γ = 60.00°
Last column: magnetic moment on the atom in μB.
Sites, in units of the cell vectors:
Cu 0.333 0.333 0.584  0.01
Cu 0.667 0.667 0.084  0.01
Rh 0.655 0.173 0.250  0.07
Rh 0.173 0.173 0.250  0.07
Rh 0.000 0.000 0.500  0.06
Rh 0.345 0.827 0.750  0.07
Cu 0.667 0.667 0.416  0.01
Rh 0.173 0.655 0.250  0.07
Cu 0.333 0.333 0.916  0.01
Rh 0.827 0.345 0.750  0.07
Rh 0.000 0.000 0.000  0.06
Rh 0.827 0.827 0.750  0.07

Computed properties:
The space group is No. 194. The calculation puts the formation energy at 0.375 eV per atom.



(9)
# AcSm6YTm2

An optimized crystal structure of AcSm6YTm2 (GGA-PBE, Alexandria).

a = 9.669 Å, b = 8.990 Å, c = 8.990 Å
α = 117.53°, β = 92.88°, γ = 92.88°
Sites, in units of the cell vectors:
Sm 0.382 0.511 0.289
Sm 0.446 0.247 0.877
Tm 0.453 0.795 0.684
Sm 0.181 0.553 0.011
Sm 0.819 0.447 0.989
Y 0.250 0.412 0.588
Sm 0.118 0.711 0.489
Ac 0.250 0.971 0.029
Sm 0.554 0.753 0.123
Sm 0.319 0.989 0.447
Ac 0.750 0.029 0.971
Tm 0.953 0.684 0.795
Sm 0.946 0.877 0.247
Y 0.750 0.588 0.412
Sm 0.882 0.289 0.511
Sm 0.054 0.123 0.753
Sm 0.618 0.489 0.711
Tm 0.547 0.205 0.316
Sm 0.681 0.011 0.553
Tm 0.047 0.316 0.205

Computed properties:
The space group is No. 15. The calculation puts the formation energy at 0.121 eV per atom.



(10)
# ScSi2Hg

An optimized crystal structure of ScSi2Hg (GGA-PBE, Alexandria).

a = 2.992 Å, b = 2.992 Å, c = 8.731 Å
α = 90.00°, β = 90.00°, γ = 90.01°
Sites, in units of the cell vectors:
Si 0.000 0.000 0.534
Sc 0.500 0.500 0.750
Si 0.000 0.000 0.966
Hg 0.500 0.500 0.250

Computed properties:
The space group is No. 123. As for the energy relative to the elements, uncorrected: 2.78 kcal/mol of atoms.



(11)
# SrTb2Hg4

An optimized crystal structure of SrTb2Hg4 (GGA-PBE, Alexandria).

a = 5.170 Å, b = 5.170 Å, c = 10.089 Å
α = 75.16°, β = 75.16°, γ = 60.00°
Sites, in units of the cell vectors:
Hg 0.889 0.889 0.333
Hg 0.412 0.412 0.764
Hg 0.588 0.588 0.236
Hg 0.111 0.111 0.667
Tb 0.783 0.783 0.652
Sr 0.000 0.000 0.000
Tb 0.217 0.217 0.348

Computed properties:
The space group is No. 166. The calculation puts the formation energy at -0.319 eV per atom.



(12)
# Ti4CO

An optimized crystal structure of Ti4CO (GGA-PBE, Alexandria).

a = 4.850 Å, b = 5.278 Å, c = 5.959 Å
α = 90.00°, β = 90.00°, γ = 90.00°
Sites, in units of the cell vectors:
Ti 0.745 0.170 0.625
O 0.000 0.500 0.129
Ti 0.239 0.334 0.874
Ti 0.255 0.830 0.625
Ti 0.755 0.170 0.125
C 0.500 0.000 0.373
Ti 0.261 0.334 0.374
C 0.000 0.000 0.873
Ti 0.739 0.666 0.374
O 0.500 0.500 0.629
Ti 0.245 0.830 0.125
Ti 0.761 0.666 0.874

Computed properties:
The space group is No. 30. As for the energy relative to the elements, uncorrected: -27.97 kcal/mol of atoms.



(13)
# TiH2Rh

An optimized crystal structure of TiH2Rh (GGA-PBE, Alexandria).

a = 4.144 Å, b = 4.144 Å, c = 5.229 Å
α = 66.66°, β = 66.66°, γ = 90.00°
Last column: magnetic moment on the atom in μB.
Sites, in units of the cell vectors:
H 0.375 0.352 0.750  0.00
Rh 0.000 0.000 0.000  0.14
H 0.875 0.898 0.750  0.00
Rh 0.750 0.250 0.500  0.14
Ti 0.250 0.750 0.500  0.68
H 0.102 0.625 0.250  0.00
Ti 0.500 0.500 0.000  0.69
H 0.648 0.125 0.250  0.00

Computed properties:
The space group is No. 122. The total energy is -5.81 eV/atom.



Quick rundown of total magnetic moment, same order as above: 0.0, 0.0, 0.0, 0.0, 4.0, 0.6, 0.0, 0.1, 0.0, 0.0, 0.0, 0.0, 1.0 μB/f.u.